#A
Material: LiZn4Ga2
Method: DFT, PBE
State: optimized geometry

a b c (Å): 4.1541 15.9542 3.5702
angles (deg): 90.00 90.00 90.00
Closest atoms and distances in Å follow each position.
Fractional positions:
Li (0.0000, 0.0000, 0.0000)  8 Ga 3.00, 4 Zn 3.28
Li (0.5000, 0.5000, 0.0000)  8 Ga 3.00, 4 Zn 3.28
Zn (0.0000, 0.1723, 0.5000)  2 Ga 2.57, 6 Zn 2.74-2.77
Zn (0.0000, 0.3030, 0.0000)  2 Ga 2.61, 8 Zn 2.68-2.77
Zn (0.0000, 0.6970, 0.0000)  2 Ga 2.61, 8 Zn 2.68-2.77
Zn (0.0000, 0.8277, 0.5000)  2 Ga 2.57, 6 Zn 2.74-2.77
Zn (0.5000, 0.1970, 0.0000)  2 Ga 2.61, 8 Zn 2.68-2.77
Zn (0.5000, 0.3277, 0.5000)  2 Ga 2.57, 6 Zn 2.74-2.77
Zn (0.5000, 0.6723, 0.5000)  2 Ga 2.57, 6 Zn 2.74-2.77
Zn (0.5000, 0.8030, 0.0000)  2 Ga 2.61, 8 Zn 2.68-2.77
Ga (0.0000, 0.4225, 0.5000)  1 Ga 2.47, 4 Zn 2.57-2.61
Ga (0.0000, 0.5775, 0.5000)  1 Ga 2.47, 4 Zn 2.57-2.61
Ga (0.5000, 0.0775, 0.5000)  1 Ga 2.47, 4 Zn 2.57-2.61
Ga (0.5000, 0.9225, 0.5000)  1 Ga 2.47, 4 Zn 2.57-2.61

## Properties
Its mass density is 5.7 g/cm3. Its total magnetization is 0.0 μB/f.u. As for the space-group type: Cmmm, No. 65.

#B
Material: LiZn4Ga2
Method: DFT, PBE
State: optimized geometry

a b c (Å): 2.9221 20.4649 4.1692
angles (deg): 90.00 90.00 90.00
Closest atoms and distances in Å follow each position.
Fractional positions:
Li (0.0000, 0.0000, 0.0000)  8 Zn 2.60-2.83
Li (0.5000, 0.5000, 0.0000)  8 Zn 2.60-2.83
Zn (0.0000, 0.0762, 0.5000)  2 Li 2.60, 4 Zn 2.69, 2 Ga 2.87
Zn (0.0000, 0.3816, 0.0000)  2 Ga 2.63, 6 Zn 2.69-2.92, 2 Li 2.83
Zn (0.0000, 0.6184, 0.0000)  2 Ga 2.63, 6 Zn 2.69-2.92, 2 Li 2.83
Zn (0.0000, 0.9238, 0.5000)  2 Li 2.60, 4 Zn 2.69, 2 Ga 2.87
Zn (0.5000, 0.1184, 0.0000)  2 Ga 2.63, 6 Zn 2.69-2.92, 2 Li 2.83
Zn (0.5000, 0.4238, 0.5000)  2 Li 2.60, 4 Zn 2.69, 2 Ga 2.87
Zn (0.5000, 0.5762, 0.5000)  2 Li 2.60, 4 Zn 2.69, 2 Ga 2.87
Zn (0.5000, 0.8816, 0.0000)  2 Ga 2.63, 6 Zn 2.69-2.92, 2 Li 2.83
Ga (0.0000, 0.3033, 0.5000)  4 Ga 2.63-2.92, 4 Zn 2.63-2.87
Ga (0.0000, 0.6967, 0.5000)  4 Ga 2.63-2.92, 4 Zn 2.63-2.87
Ga (0.5000, 0.1967, 0.5000)  4 Ga 2.63-2.92, 4 Zn 2.63-2.87
Ga (0.5000, 0.8033, 0.5000)  4 Ga 2.63-2.92, 4 Zn 2.63-2.87

## Properties
Its mass density is 5.4 g/cm3. Its total magnetization is 0.0 μB/f.u. As for the space-group type: Cmmm, No. 65.

Consider the structures shown above. The most stable of them is #A.